Computed, not measured: an optimized crystal structure of SrBi2N at the PBE level of DFT.

Unit cell a=6.948 b=6.948 c=6.948 alpha=98.97 beta=98.97 gamma=133.48
Atoms (fractional coordinates):
Sr (0.000, 0.000, 0.000)
Sr (0.750, 0.250, 0.500)
Bi (0.264, 0.625, 0.139)
Bi (0.375, 0.514, 0.639)
Bi (0.486, 0.125, 0.861)
Bi (0.875, 0.736, 0.361)
N (0.250, 0.750, 0.500)
N (0.500, 0.500, 0.000)

Properties
- Energy: -34.1 eV per cell
- Calculated volume: 224 Å³ per cell
- Spin magnetization: 0.00 μB/f.u.
- Theoretical density: 7.7 Mg/m³
- Uncorrected formation energy: 181 meV/atom